Entry 1:
! LaNiO3, relaxed, DFT PBE with a Hubbard U; values from VASP
&SYSTEM
  ibrav = 0, nat = 10, ntyp = 3
/
ATOMIC_SPECIES
Ni 58.69 Ni.upf
O 16.00 O.upf
La 138.91 La.upf
ATOMIC_POSITIONS crystal
Ni 0.3333 0.6667 0.7500
Ni 0.6667 0.3333 0.2500
O 0.0000 0.0000 0.2500
O 0.0000 0.0000 0.7500
O 0.3333 0.6667 0.9105
O 0.3333 0.6667 0.5895
O 0.6667 0.3333 0.4105
O 0.6667 0.3333 0.0895
La 0.0000 0.0000 0.0000
La 0.0000 0.0000 0.5000
CELL_PARAMETERS angstrom
3.2787 -1.8930 0.0000
0.0000 3.7859 0.0000
0.0000 0.0000 11.3446
! Raw total energy ... -0.4625 Ry/atom
! Space-group type ... P6_3/mmc

***

Entry 2:
! LaNiO3, relaxed, DFT PBE with a Hubbard U; values from VASP
&SYSTEM
  ibrav = 0, nat = 20, ntyp = 3
/
ATOMIC_SPECIES
Ni 58.69 Ni.upf
O 16.00 O.upf
La 138.91 La.upf
ATOMIC_POSITIONS crystal
Ni 0.0796 0.3517 0.5491
Ni 0.9204 0.6483 0.4509
Ni 0.4204 0.8517 0.9509
Ni 0.5796 0.1483 0.0491
O 0.2914 0.9567 0.8509
O 0.7086 0.0433 0.1491
O 0.2086 0.4567 0.6491
O 0.7914 0.5433 0.3509
O 0.3851 0.3202 0.4078
O 0.6149 0.6798 0.5922
O 0.1149 0.8202 0.0922
O 0.8851 0.1798 0.9078
O 0.5618 0.8240 0.0753
O 0.4382 0.1760 0.9247
O 0.9382 0.3240 0.4247
O 0.0618 0.6760 0.5753
La 0.4371 0.7274 0.4627
La 0.5629 0.2726 0.5373
La 0.0629 0.2274 0.0373
La 0.9371 0.7726 0.9627
CELL_PARAMETERS angstrom
18.9699 0.0000 -0.7974
0.0000 6.1546 0.0000
-6.6422 0.0000 2.6707
! Raw total energy ... -0.4749 Ry/atom
! Space-group type ... P2_1/c

***

Entry 3:
! La4Ni3O8, relaxed, DFT PBE with a Hubbard U; values from VASP
&SYSTEM
  ibrav = 0, nat = 15, ntyp = 3
/
ATOMIC_SPECIES
Ni 58.69 Ni.upf
O 16.00 O.upf
La 138.91 La.upf
ATOMIC_POSITIONS crystal
Ni 0.1251 0.1251 0.0000
Ni 0.8749 0.8749 0.0000
Ni 0.0000 0.0000 0.0000
O 0.8747 0.3747 0.5000
O 0.7500 0.2500 0.5000
O 0.3747 0.8747 0.5000
O 0.2500 0.7500 0.5000
O 0.0000 0.5000 0.5000
O 0.1253 0.6253 0.5000
O 0.6253 0.1253 0.5000
O 0.5000 0.0000 0.5000
La 0.2989 0.2989 0.0000
La 0.7011 0.7011 0.0000
La 0.4339 0.4339 0.0000
La 0.5661 0.5661 0.0000
CELL_PARAMETERS angstrom
13.3102 0.0021 0.0000
12.1067 5.5307 0.0000
-12.7084 -2.7664 2.8290
! Raw total energy ... -0.5070 Ry/atom
! Space-group type ... I4/mmm

***

Entry 4:
! LaNiO3, relaxed, DFT PBE with a Hubbard U; values from VASP
&SYSTEM
  ibrav = 0, nat = 5, ntyp = 3
/
ATOMIC_SPECIES
Ni 58.69 Ni.upf
O 16.00 O.upf
La 138.91 La.upf
ATOMIC_POSITIONS crystal
Ni 0.0000 0.4164 0.5836
O 0.5000 0.2623 0.3595
O 0.5000 0.6405 0.7377
O 0.0000 0.2205 0.7795
La 0.5000 0.0883 0.9117
CELL_PARAMETERS angstrom
-3.0149 -1.0857 1.3478
1.4273 -5.5163 -1.2509
1.5094 2.2319 5.1741
! Raw total energy ... -0.4512 Ry/atom
! Space-group type ... Amm2